(1)
This record from Alexandria via LeMat-Bulk describes a relaxed CdCu2Ni crystal. The functional is GGA-PBE.

The density of states at the Fermi level comes out at 1.719 states/eV/f.u. The formation energy is 8 kJ/mol of atoms.

The space group is I4/mmm (No. 139) and the conventional cell measures 3.793, 3.793 and 7.605 Å, with angles of 90.00, 90.00 and 90.00 degrees. The inequivalent atoms are Cd at (0.000, 0.000, 0.000), Cu at (0.000, 0.500, 0.250) and Ni at (0.000, 0.000, 0.500).

***

(2)
This record from Alexandria via LeMat-Bulk describes a relaxed CdCu2Ni crystal. The functional is GGA-PBE.

The density of states at the Fermi level comes out at 1.581 states/eV/f.u. The formation energy is 15 kJ/mol of atoms.

The space group is R-3m (No. 166, hexagonal axes) and the conventional cell measures 2.7323, 2.7323 and 25.9701 Å, with angles of 90.00, 90.00 and 120.00 degrees. The inequivalent atoms are Cd at (0.0000, 0.0000, 0.0000), Cu at (0.0000, 0.0000, 0.2414) and Ni at (0.0000, 0.0000, 0.5000).

***

(3)
This record from Alexandria via LeMat-Bulk describes a relaxed Cd2CuNi3 crystal. The functional is GGA-PBE.

The density of states at the Fermi level comes out at 6.943 states/eV/f.u. The formation energy is 3 kJ/mol of atoms.

The space group is C2/m (No. 12) and the conventional cell measures 8.502, 4.922 and 4.910 Å, with angles of 90.00, 124.68 and 90.00 degrees. The inequivalent atoms are Cd at (0.124, 0.000, 0.375), Cu at (0.000, 0.500, 0.000), Ni at (0.000, 0.500, 0.500) and Ni at (0.250, 0.250, 0.000).

***

(4)
This record from Alexandria via LeMat-Bulk describes a relaxed CdCu2Ni crystal. The functional is GGA-PBE.

The density of states at the Fermi level comes out at 1.361 states/eV/f.u. The formation energy is 10 kJ/mol of atoms.

The space group is Cm (No. 8) and the conventional cell measures 8.804, 2.802 and 4.589 Å, with angles of 90.00, 103.17 and 90.00 degrees. The inequivalent atoms are Cd at (0.000, 0.000, 0.000), Cu at (0.006, 0.500, 0.505), Cu at (0.260, 0.500, 0.280) and Ni at (0.244, 0.000, 0.737).

***

(5)
This record from Alexandria via LeMat-Bulk describes a relaxed CdCuNi2 crystal. The functional is GGA-PBE.

The density of states at the Fermi level comes out at 3.888 states/eV/f.u. The formation energy is 10 kJ/mol of atoms.

The space group is P4/mmm (No. 123) and the conventional cell measures 3.811, 3.811 and 3.668 Å, with angles of 90.00, 90.00 and 90.00 degrees. The inequivalent atoms are Cd at (0.000, 0.000, 0.000), Cu at (0.500, 0.500, 0.000) and Ni at (0.000, 0.500, 0.500).

***

(6)
This record from Alexandria via LeMat-Bulk describes a relaxed CdCu2Ni crystal. The functional is GGA-PBE.

The density of states at the Fermi level comes out at 2.073 states/eV/f.u. The formation energy is 16 kJ/mol of atoms.

The space group is R3m (No. 160, hexagonal axes) and the conventional cell measures 2.7484, 2.7484 and 25.5732 Å, with angles of 90.00, 90.00 and 120.00 degrees. The inequivalent atoms are Cd at (0.0000, 0.0000, 0.0000), Cu at (0.0000, 0.0000, 0.5025), Cu at (0.0000, 0.0000, 0.7583) and Ni at (0.0000, 0.0000, 0.2446).

***

(7)
This record from Alexandria via LeMat-Bulk describes a relaxed CdCuNi2 crystal. The functional is GGA-PBE.

The density of states at the Fermi level comes out at 4.416 states/eV/f.u. The formation energy is 19 kJ/mol of atoms.

The space group is R3m (No. 160, hexagonal axes) and the conventional cell measures 2.7180, 2.7180 and 25.5692 Å, with angles of 90.00, 90.00 and 120.00 degrees. The inequivalent atoms are Cd at (0.0000, 0.0000, 0.0000), Cu at (0.0000, 0.0000, 0.7597), Ni at (0.0000, 0.0000, 0.2434) and Ni at (0.0000, 0.0000, 0.5032).

***

(8)
This record from Alexandria via LeMat-Bulk describes a relaxed Cd4CuNi crystal. The functional is GGA-PBE.

Its excess energy over the best structure of this formula in the dataset is 0 meV per atom. The density of states at the Fermi level comes out at 3.317 states/eV/f.u. The formation energy is 1 kJ/mol of atoms.

The space group is I422 (No. 97) and the conventional cell measures 6.472, 6.472 and 5.302 Å, with angles of 90.00, 90.00 and 90.00 degrees. The inequivalent atoms are Cd at (0.170, 0.330, 0.250), Cu at (0.000, 0.000, 0.000) and Ni at (0.000, 0.000, 0.500).